Compound: BaMg2Pb
Source: Alexandria
Functional: PBE-GGA
Structure: relaxed

```
BaMg2Pb
1.0
4.972 0.000 0.000
0.000 4.978 0.000
0.000 0.000 5.200
Mg Pb Ba
2 1 1
direct
0.500 0.500 0.000
0.000 0.000 0.000
0.500 0.000 0.500
0.000 0.500 0.500
```

Output
* E_form: -132.3 meV/atom
* electronic total energy: -2.337 eV per atom


Compound: Y8Tm3Th2
Source: Alexandria
Functional: PBE-GGA
Structure: relaxed

```
Y8Tm3Th2
1.0
-1.660 2.749 4.706
-3.684 -5.965 2.185
10.280 -0.413 3.864
Y Tm Th
8 3 2
direct
0.000 0.141 0.282
0.000 0.332 0.663
0.500 0.389 0.216
0.000 0.668 0.337
0.500 0.611 0.784
0.000 0.859 0.718
0.500 0.828 0.216
0.500 0.172 0.784
0.000 0.731 0.000
0.000 0.269 0.000
0.500 0.000 0.000
0.500 0.755 0.509
0.500 0.245 0.491
```

Output
* E_form: 277.4 meV/atom
* electronic total energy: -5.874 eV per atom
* ΔE to the lowest computed polymorph: 122.8 meV per atom


Compound: Y3Ho2S8
Source: Alexandria
Functional: PBE-GGA
Structure: relaxed

```
Y3Ho2S8
1.0
-0.197 -1.447 -6.526
5.624 -5.453 1.040
-7.241 -1.190 2.895
S Ho Y
8 2 3
direct
0.930 0.118 0.236
0.585 0.109 0.750
0.585 0.640 0.750
0.415 0.891 0.250
0.415 0.360 0.250
0.095 0.381 0.762
0.905 0.619 0.238
0.070 0.882 0.764
0.658 0.738 0.476
0.342 0.262 0.524
0.000 0.263 0.000
0.000 0.737 0.000
0.500 0.000 0.000
```

Output
* E_form (uncorrected): -1877 meV/atom
* electronic total energy: -6.613 eV per atom


Compound: K2ZrTe2
Source: Alexandria
Functional: PBE-GGA
Structure: relaxed

```
K2ZrTe2
1.0
4.104 0.000 0.000
0.000 4.104 0.000
2.052 2.052 8.497
K Te Zr
2 2 1
direct
0.250 0.750 0.500
0.750 0.250 0.500
0.405 0.405 0.191
0.595 0.595 0.809
0.000 0.000 0.000
```

Output
* E_form (uncorrected): -168 meV/atom
* electronic total energy: -3.573 eV per atom


Compound: Ti2Mo2Os
Source: Alexandria
Functional: PBE-GGA
Structure: relaxed

```
Ti2Mo2Os
1.0
-1.493 3.809 -1.331
-3.524 0.157 4.401
6.276 1.007 2.793
Ti Mo Os
4 4 2
direct
0.597 0.650 0.194
0.403 0.350 0.806
0.597 0.150 0.194
0.403 0.850 0.806
0.201 0.544 0.403
0.201 0.044 0.403
0.799 0.956 0.597
0.799 0.456 0.597
0.000 0.250 0.000
0.000 0.750 0.000
```

Output
* E_form: -275.5 meV/atom
* electronic total energy: -10.012 eV per atom


Compound: LiZr4Hg
Source: Alexandria
Functional: PBE-GGA
Structure: relaxed

```
LiZr4Hg
1.0
0.000 4.099 4.099
4.099 0.000 4.099
4.099 4.099 0.000
Zr Li Hg
4 1 1
direct
0.375 0.874 0.375
0.874 0.375 0.375
0.375 0.375 0.874
0.375 0.375 0.375
0.000 0.000 0.000
0.750 0.750 0.750
```

Output
* E_form: 348.2 meV/atom
* electronic total energy: -5.720 eV per atom


Compound: CaCr2Se
Source: Alexandria
Functional: PBE-GGA
Structure: relaxed

```
CaCr2Se
1.0
4.403 0.000 0.000
0.000 4.403 0.000
2.201 2.201 8.834
Ca Se Cr
2 2 4
direct
0.250 0.750 0.500
0.500 0.500 0.000
0.750 0.250 0.500
0.000 0.000 0.000
0.875 0.142 0.750
0.375 0.108 0.750
0.858 0.625 0.250
0.892 0.125 0.250
```

Output
* E_form (uncorrected): 292 meV/atom
* electronic total energy: -5.891 eV per atom


Compound: Ac6LaHo
Source: Alexandria
Functional: PBE-GGA
Structure: relaxed

```
Ac6LaHo
1.0
-2.057 1.641 -4.850
-1.070 -5.249 -1.323
-10.037 0.897 4.560
Ac La Ho
6 1 1
direct
0.000 0.500 0.253
0.500 0.500 0.500
0.500 0.000 0.747
0.000 0.500 0.747
0.500 0.000 0.253
0.500 0.500 0.000
0.000 0.000 0.000
0.000 0.000 0.500
```

Output
* E_form: 29.3 meV/atom
* electronic total energy: -4.240 eV per atom
* ΔE to the lowest computed polymorph: 0.0 meV per atom


Compound: CoRu2Cl
Source: Alexandria
Functional: PBE-GGA
Structure: relaxed

```
CoRu2Cl
1.0
-0.566 -2.334 3.654
2.759 -3.031 -1.524
2.160 1.361 1.204
Cl Ru Co
1 2 1
direct
0.500 0.000 0.500
0.000 0.000 0.000
0.500 0.500 0.000
0.000 0.500 0.500
```

Output
* E_form (uncorrected): 833 meV/atom
* electronic total energy: -6.043 eV per atom
* ΔE to the lowest computed polymorph: 478.7 meV per atom


Compound: Tb2Er3In2
Source: Alexandria
Functional: PBE-GGA
Structure: relaxed

```
Tb2Er3In2
1.0
4.833 0.000 0.641
0.000 3.422 0.000
0.865 0.000 12.015
Tb In Er
2 2 3
direct
0.714 0.500 0.572
0.286 0.500 0.428
0.571 0.500 0.858
0.429 0.500 0.142
0.000 0.000 0.000
0.142 0.000 0.717
0.858 0.000 0.283
```

Output
* E_form: -147.4 meV/atom
* electronic total energy: -4.208 eV per atom
* ΔE to the lowest computed polymorph: 128.3 meV per atom


Compound: CePrN
Source: Alexandria
Functional: PBE-GGA
Structure: relaxed

```
CePrN
1.0
-4.236 0.373 -4.826
-2.574 -1.279 2.161
0.565 3.544 -0.222
Ce N Pr
1 1 1
direct
0.209 0.333 0.667
0.018 0.000 0.000
0.773 0.667 0.333
```

Output
* E_form (uncorrected): -844 meV/atom
* electronic total energy: -7.190 eV per atom
* ΔE to the lowest computed polymorph: 0.0 meV per atom


Compound: Pr3Nd2Bi4
Source: Alexandria
Functional: PBE-GGA
Structure: relaxed

```
Pr3Nd2Bi4
1.0
-2.828 3.813 -1.059
-3.738 -6.687 -2.926
0.983 3.541 10.124
Pr Bi Nd
3 4 2
direct
0.000 0.000 0.000
0.653 0.307 0.723
0.347 0.693 0.277
0.943 0.886 0.594
0.343 0.686 0.966
0.657 0.314 0.034
0.057 0.114 0.406
0.351 0.701 0.668
0.649 0.299 0.332
```

Output
* E_form: -740.0 meV/atom
* electronic total energy: -5.118 eV per atom


Compound: Zn8Cr
Source: Alexandria
Functional: PBE-GGA
Structure: relaxed

```
Zn8Cr
1.0
-2.512 2.685 -1.401
-5.642 -2.380 0.030
0.429 0.686 6.070
Cr Zn
1 8
direct
0.000 0.000 0.000
0.667 0.000 0.333
0.667 0.667 0.000
0.333 0.000 0.667
0.334 0.666 0.334
0.666 0.334 0.666
0.000 0.666 0.666
0.333 0.333 0.000
0.000 0.334 0.334
```

Output
* E_form: 54.1 meV/atom
* electronic total energy: -2.148 eV per atom


Compound: AlBAs2Ru
Source: Alexandria
Functional: PBE-GGA
Structure: relaxed

```
AlBAs2Ru
1.0
4.718 0.000 0.000
0.000 4.583 0.000
0.000 0.000 4.718
Ru B Al As
1 1 1 2
direct
0.000 0.500 0.000
0.500 0.500 0.500
0.000 0.000 0.000
0.000 0.000 0.500
0.500 0.000 0.000
```

Output
* E_form: 1704.9 meV/atom
* electronic total energy: -4.094 eV per atom


Compound: PuMgSbO6
Source: Alexandria
Functional: PBE-GGA
Structure: relaxed

```
PuMgSbO6
1.0
5.235 0.000 0.000
-2.618 4.534 0.000
0.000 0.000 9.456
Pu O Sb Mg
2 12 2 2
direct
0.000 0.000 0.500
0.000 0.000 0.000
0.655 0.988 0.368
0.012 0.667 0.368
0.333 0.345 0.368
0.655 0.667 0.132
0.333 0.988 0.132
0.988 0.333 0.632
0.012 0.345 0.132
0.345 0.012 0.632
0.667 0.012 0.868
0.988 0.655 0.868
0.667 0.655 0.632
0.345 0.333 0.868
0.667 0.333 0.750
0.333 0.667 0.250
0.667 0.333 0.250
0.333 0.667 0.750
```

Output
* E_form (uncorrected): -2200 meV/atom
* electronic total energy: -7.733 eV per atom


Compound: BeAl2Ru
Source: Alexandria
Functional: PBE-GGA
Structure: relaxed

```
BeAl2Ru
1.0
2.766 -0.051 0.000
-1.210 2.488 0.000
0.000 0.000 8.095
Be Al Ru
1 2 1
direct
0.500 0.500 0.250
0.000 0.000 0.498
0.000 0.000 0.002
0.500 0.500 0.750
```

Output
* E_form: 42.6 meV/atom
* electronic total energy: -5.079 eV per atom


Compound: NpSn2Ru
Source: Alexandria
Functional: PBE-GGA
Structure: relaxed

```
NpSn2Ru
1.0
3.263 0.000 0.000
0.000 3.263 0.000
0.000 0.000 7.843
Np Sn Ru
1 2 1
direct
0.500 0.500 0.500
0.000 0.000 0.206
0.000 0.000 0.794
0.500 0.500 0.000
```

Output
* E_form: -44.5 meV/atom
* electronic total energy: -7.600 eV per atom


Compound: NpCrAs3
Source: Alexandria
Functional: PBE-GGA
Structure: relaxed

```
NpCrAs3
1.0
-0.454 5.110 2.176
-3.023 -2.076 4.243
10.005 -1.777 6.260
As Np Cr
12 4 4
direct
0.250 0.004 0.220
0.750 0.996 0.780
0.000 0.250 0.498
0.500 0.250 0.498
0.750 0.892 0.069
0.750 0.496 0.220
0.250 0.108 0.931
0.000 0.750 0.502
0.250 0.504 0.780
0.750 0.392 0.931
0.500 0.750 0.502
0.250 0.608 0.069
0.250 0.505 0.310
0.750 0.495 0.690
0.250 0.005 0.690
0.750 0.995 0.310
0.000 0.750 0.912
0.500 0.750 0.912
0.500 0.250 0.088
0.000 0.250 0.088
```

Output
* E_form: -392.1 meV/atom
* electronic total energy: -7.695 eV per atom


Compound: Al2CoTc2
Source: Alexandria
Functional: PBE-GGA
Structure: relaxed

```
Al2CoTc2
1.0
-5.558 -1.910 -1.396
-1.108 -1.047 5.845
-1.305 3.518 0.383
Al Co Tc
4 2 4
direct
0.643 0.143 0.000
0.857 0.643 0.000
0.357 0.857 0.000
0.143 0.357 0.000
0.500 0.500 0.000
0.000 0.000 0.000
0.168 0.668 0.500
0.332 0.168 0.500
0.668 0.832 0.500
0.832 0.332 0.500
```

Output
* E_form: -39.1 meV/atom
* electronic total energy: -7.104 eV per atom
* ΔE to the lowest computed polymorph: 0.0 meV per atom


Compound: Sr4CeTh3As8
Source: Alexandria
Functional: PBE-GGA
Structure: relaxed

```
Sr4CeTh3As8
1.0
8.723 0.000 0.000
0.000 8.778 0.032
-4.361 -4.356 6.171
Sr As Ce Th
4 8 1 3
direct
0.000 0.000 0.500
0.500 0.000 0.500
0.500 0.000 0.000
0.000 0.000 0.000
0.256 0.276 0.016
0.744 0.724 0.984
0.742 0.727 0.485
0.240 0.724 0.984
0.258 0.273 0.515
0.760 0.276 0.016
0.240 0.724 0.480
0.760 0.276 0.520
0.000 0.500 0.000
0.000 0.500 0.500
0.500 0.500 0.000
0.500 0.500 0.500
```

Output
* E_form: -1345.4 meV/atom
* electronic total energy: -5.853 eV per atom


Compound: PmInHg4
Source: Alexandria
Functional: PBE-GGA
Structure: relaxed

```
PmInHg4
1.0
6.053 0.000 0.000
3.027 5.242 0.000
3.027 1.747 4.942
Hg In Pm
4 1 1
direct
0.625 0.625 0.625
0.126 0.625 0.625
0.625 0.126 0.625
0.625 0.625 0.126
0.000 0.000 0.000
0.250 0.250 0.250
```

Output
* E_form: -92.8 meV/atom
* electronic total energy: -1.542 eV per atom
* ΔE to the lowest computed polymorph: 172.1 meV per atom


Compound: Li3Pm2CrNi12
Source: Alexandria
Functional: PBE-GGA
Structure: relaxed

```
Li3Pm2CrNi12
1.0
-6.929 4.138 -4.497
-4.509 0.116 -8.063
-8.258 -1.568 -3.836
Pm Ni Li Cr
2 12 3 1
direct
0.648 0.648 0.648
0.352 0.352 0.352
0.076 0.076 0.642
0.076 0.642 0.076
0.642 0.076 0.076
0.924 0.358 0.924
0.924 0.924 0.358
0.417 0.417 0.812
0.188 0.583 0.583
0.812 0.417 0.417
0.417 0.812 0.417
0.583 0.188 0.583
0.583 0.583 0.188
0.358 0.924 0.924
0.000 0.000 0.500
0.500 0.000 0.000
0.000 0.500 0.000
0.000 0.000 0.000
```

Output
* E_form: 195.8 meV/atom
* electronic total energy: -5.040 eV per atom


Compound: Na3Np2VTe6
Source: Alexandria
Functional: PBE-GGA
Structure: relaxed

```
Na3Np2VTe6
1.0
7.502 -0.006 -0.003
-3.754 6.495 -0.003
-1.252 -2.169 7.560
Te Na Np V
6 3 2 1
direct
0.075 0.387 0.225
0.764 0.764 0.226
0.613 0.925 0.775
0.387 0.075 0.225
0.925 0.613 0.775
0.236 0.236 0.774
0.173 0.827 0.500
0.827 0.173 0.500
0.500 0.500 0.500
0.666 0.334 0.000
0.334 0.666 0.000
0.000 0.000 0.000
```

Output
* E_form (uncorrected): -718 meV/atom
* electronic total energy: -5.535 eV per atom